Density functional theory data (GGA-PBE) for a geometry-optimized Li2TlBiAs structure.

abc: 4.8108 4.8108 6.0235
angles: 90.00 90.00 90.00
Space group P4/mmm (No. 123)
One atom of each set of equivalent atoms:
Li1 0.0000 0.5000 0.0000 [2 per cell]
Tl1 0.0000 0.0000 0.5000 [1 per cell]
Bi1 0.5000 0.5000 0.5000 [1 per cell]
As1 0.5000 0.5000 0.0000 [1 per cell]

- magnetic moment (μB/f.u.) = 0.0
- theoretical density (g/cm3) = 5.98
- crystal system = tetragonal
- volume (Å³/cell) = 139
- DFT formation energy (kJ/mol of formula units) = -76